1.
4
Lattice="0.000 3.641 3.641 3.641 0.000 3.641 3.641 3.641 0.000" Properties=species:S:1:pos:R:3 comment="LaLuZn2 | Alexandria via LeMat-Bulk | GGA-PBE | relaxed" de_polymorph_ev_per_atom=0.015 density_g_cm3=7.65 magnetic_moment_mub_per_fu=0.0 pbc="T T T"
La 0.000 0.000 0.000
Lu 3.641 3.641 3.641
Zn 1.820 1.820 1.820
Zn 5.461 5.461 5.461

---

2.
4
Lattice="4.075 0.000 0.000 0.000 4.075 0.000 0.000 0.000 7.405" Properties=species:S:1:pos:R:3 comment="La2LuZr | Alexandria via LeMat-Bulk | GGA-PBE | relaxed" de_polymorph_ev_per_atom=0.031 density_g_cm3=7.34 magnetic_moment_mub_per_fu=0.0 pbc="T T T"
La 0.000 0.000 1.719
La 0.000 0.000 5.687
Lu 2.038 2.038 3.703
Zr 2.038 2.038 0.000

---

3.
4
Lattice="5.008 0.000 0.000 0.000 5.008 0.000 0.000 0.000 4.870" Properties=species:S:1:pos:R:3 comment="La2LuZr | Alexandria via LeMat-Bulk | GGA-PBE | relaxed" de_polymorph_ev_per_atom=0.000 density_g_cm3=7.40 magnetic_moment_mub_per_fu=0.0 pbc="T T T"
La 0.000 2.504 0.000
La 2.504 0.000 0.000
Lu 0.000 0.000 2.435
Zr 2.504 2.504 2.435

---

4.
2
Lattice="0.000 3.655 3.655 3.655 0.000 3.655 3.655 3.655 0.000" Properties=species:S:1:pos:R:3 comment="LaMg | Alexandria via LeMat-Bulk | GGA-PBE | relaxed" de_polymorph_ev_per_atom=1.196 density_g_cm3=2.78 magnetic_moment_mub_per_fu=0.6 pbc="T T T"
La 0.000 0.000 0.000
Mg 5.482 5.482 5.482

---

5.
8
Lattice="4.286 -4.997 0.000 4.286 4.997 0.000 0.000 0.000 5.357" Properties=species:S:1:pos:R:3 comment="LaMg3 | Alexandria via LeMat-Bulk | GGA-PBE | relaxed" e_tot_ev_per_fu=-9.0 density_g_cm3=3.07 magnetic_moment_mub_per_fu=0.0 pbc="T T T"
La 4.286 4.252 4.018
La 4.286 -4.252 1.339
Mg 2.856 2.504 1.339
Mg 5.715 2.504 1.339
Mg 4.286 0.795 4.018
Mg 4.286 -0.795 1.339
Mg 2.856 -2.504 4.018
Mg 5.715 -2.504 4.018

---

6.
6
Lattice="5.693 0.000 0.000 0.000 1.912 8.443 0.000 -1.912 8.443" Properties=species:S:1:pos:R:3 comment="LaMg | Alexandria via LeMat-Bulk | GGA-PBE | relaxed" de_polymorph_ev_per_atom=0.032 density_g_cm3=4.42 magnetic_moment_mub_per_fu=0.0 pbc="T T T"
La 0.000 0.000 0.000
La 0.000 0.000 5.654
La 2.847 0.000 2.833
Mg 0.000 0.000 11.268
Mg 2.847 0.000 8.276
Mg 2.847 0.000 14.284

---

7.
6
Lattice="1.884 -9.181 0.000 1.884 9.181 0.000 0.000 0.000 5.800" Properties=species:S:1:pos:R:3 comment="La2Mg | Alexandria via LeMat-Bulk | GGA-PBE | relaxed" de_polymorph_ev_per_atom=0.094 density_g_cm3=5.00 magnetic_moment_mub_per_fu=0.0 pbc="T T T"
La 1.884 7.992 4.350
La 1.884 2.129 4.350
La 1.884 -2.129 1.450
La 1.884 -7.992 1.450
Mg 1.884 4.143 1.450
Mg 1.884 -4.143 4.350

---

8.
8
Lattice="5.220 0.000 0.000 -2.610 4.521 0.000 0.000 0.000 10.689" Properties=species:S:1:pos:R:3 comment="LaMg | Alexandria via LeMat-Bulk | GGA-PBE | relaxed" de_polymorph_ev_per_atom=0.136 density_g_cm3=4.30 magnetic_moment_mub_per_fu=0.0 pbc="T T T"
La 0.000 3.014 0.991
La 0.000 3.014 4.353
La 2.610 1.507 6.336
La 2.610 1.507 9.698
Mg 0.000 0.000 2.672
Mg 0.000 0.000 8.017
Mg 0.000 3.014 8.017
Mg 2.610 1.507 2.672

---

9.
7
Lattice="6.521 -1.996 0.000 6.521 1.996 0.000 -1.124 0.000 9.121" Properties=species:S:1:pos:R:3 comment="La5Mg2 | Alexandria via LeMat-Bulk | GGA-PBE | relaxed" e_tot_ev_per_fu=-28.1 density_g_cm3=5.20 magnetic_moment_mub_per_fu=0.0 pbc="T T T"
La 0.000 0.000 0.000
La 1.202 0.000 4.065
La 2.508 0.000 7.650
La 9.410 0.000 1.471
La 10.716 0.000 5.055
Mg 5.436 0.000 2.555
Mg 6.482 0.000 6.565

---

10.
8
Lattice="6.443 0.000 0.000 0.000 5.493 0.000 0.000 0.000 6.923" Properties=species:S:1:pos:R:3 comment="LaMg | Alexandria via LeMat-Bulk | GGA-PBE | relaxed" de_polymorph_ev_per_atom=0.056 density_g_cm3=4.42 magnetic_moment_mub_per_fu=0.0 pbc="T T T"
La 0.789 1.373 0.936
La 2.432 4.120 4.398
La 4.011 1.373 2.525
La 5.654 4.120 5.987
Mg 0.501 1.373 4.314
Mg 2.721 4.120 0.852
Mg 3.722 1.373 6.071
Mg 5.943 4.120 2.609

---

11.
4
Lattice="3.535 0.000 0.000 0.000 3.535 0.000 0.000 0.000 9.749" Properties=species:S:1:pos:R:3 comment="LaMg | Alexandria via LeMat-Bulk | GGA-PBE | relaxed" de_polymorph_ev_per_atom=0.079 density_g_cm3=4.45 magnetic_moment_mub_per_fu=0.0 pbc="T T T"
La 0.884 0.884 1.450
La 2.651 2.651 8.298
Mg 0.884 0.884 5.825
Mg 2.651 2.651 3.923

---

12.
12
Lattice="9.076 0.000 0.000 0.000 9.076 0.000 0.000 0.000 9.076" Properties=species:S:1:pos:R:3 comment="LaMg | Alexandria via LeMat-Bulk | GGA-PBE | relaxed" de_polymorph_ev_per_atom=1.303 density_g_cm3=2.18 magnetic_moment_mub_per_fu=0.8 pbc="T T T"
La 0.000 2.269 4.538
La 0.000 6.807 4.538
La 2.269 4.538 0.000
La 4.538 0.000 2.269
La 4.538 0.000 6.807
La 6.807 4.538 0.000
Mg 0.000 4.538 2.269
Mg 0.000 4.538 6.807
Mg 2.269 0.000 4.538
Mg 4.538 2.269 0.000
Mg 4.538 6.807 0.000
Mg 6.807 0.000 4.538